(1)
The following is a SCAN calculation of La2PPb at its PBEsol-relaxed geometry, from the Alexandria database.

Summary:
The calculation puts the relative energy among the computed polymorphs at 0.0000 eV/atom. For the energy of formation, the calculation gives -1.269 eV per atom. Its total magnetization is 0.00 μB/f.u.

Cell lengths 4.130, 4.130, 8.516 Å; angles 75.97, 75.97, 60.00 degrees
Fractional coordinates of all 4 atoms:
1 P 0.000 0.000 0.000
2 La 0.264 0.264 0.207
3 La 0.736 0.736 0.793
4 Pb 0.500 0.500 0.500

(2)
The following is a SCAN calculation of Li6HoB3O9 at its PBEsol-relaxed geometry, from the Alexandria database.

Summary:
Its total magnetization is 0.00 μB/f.u.

Cell lengths 6.594, 7.134, 16.281 Å; angles 90.00, 90.00, 105.16 degrees
Fractional coordinates of all 76 atoms:
1 Li 0.444 0.306 0.465
2 Li 0.330 0.456 0.970
3 Li 0.056 0.694 0.965
4 Li 0.670 0.544 0.030
5 Li 0.413 0.865 0.054
6 Li 0.366 0.716 0.206
7 Li 0.087 0.135 0.554
8 Li 0.944 0.306 0.035
9 Li 0.677 0.072 0.505
10 Li 0.556 0.694 0.535
11 Li 0.544 0.561 0.705
12 Li 0.044 0.561 0.795
13 Li 0.913 0.865 0.446
14 Li 0.830 0.456 0.530
15 Li 0.823 0.928 0.005
16 Li 0.134 0.284 0.706
17 Li 0.866 0.716 0.294
18 Li 0.456 0.439 0.295
19 Li 0.956 0.439 0.205
20 Li 0.634 0.284 0.794
21 Li 0.587 0.135 0.946
22 Li 0.170 0.544 0.470
23 Li 0.323 0.928 0.495
24 Li 0.177 0.072 0.995
25 O 0.956 0.116 0.926
26 O 0.971 0.010 0.325
27 O 0.940 0.258 0.796
28 O 0.060 0.742 0.204
29 O 0.084 0.464 0.912
30 O 0.924 0.609 0.421
31 O 0.728 0.276 0.431
32 O 0.730 0.579 0.801
33 O 0.770 0.421 0.301
34 O 0.424 0.609 0.079
35 O 0.825 0.909 0.553
36 O 0.544 0.884 0.426
37 O 0.576 0.391 0.921
38 O 0.529 0.990 0.825
39 O 0.471 0.010 0.175
40 O 0.675 0.091 0.053
41 O 0.916 0.536 0.088
42 O 0.772 0.724 0.931
43 O 0.270 0.421 0.199
44 O 0.584 0.464 0.588
45 O 0.029 0.990 0.675
46 O 0.837 0.148 0.186
47 O 0.440 0.258 0.704
48 O 0.663 0.852 0.686
49 O 0.416 0.536 0.412
50 O 0.456 0.116 0.574
51 O 0.230 0.579 0.699
52 O 0.175 0.091 0.447
53 O 0.272 0.724 0.569
54 O 0.044 0.884 0.074
55 O 0.560 0.742 0.296
56 O 0.076 0.391 0.579
57 O 0.228 0.276 0.069
58 O 0.337 0.148 0.314
59 O 0.325 0.909 0.947
60 O 0.163 0.852 0.814
61 B 0.162 0.086 0.364
62 B 0.338 0.914 0.864
63 B 0.310 0.440 0.116
64 B 0.503 0.715 0.379
65 B 0.997 0.285 0.879
66 B 0.690 0.560 0.884
67 B 0.838 0.914 0.636
68 B 0.662 0.086 0.136
69 B 0.190 0.560 0.616
70 B 0.810 0.440 0.384
71 B 0.003 0.715 0.121
72 B 0.497 0.285 0.621
73 Ho 0.653 0.081 0.310
74 Ho 0.153 0.081 0.190
75 Ho 0.847 0.919 0.810
76 Ho 0.347 0.919 0.690

no.,E (eV per atom)
1,-44.3666
2,-10.1697